No. 1
This record from Alexandria via LeMat-Bulk describes a geometry-optimized Cd2Pb2Br structure. The functional is PBE-GGA.

Lattice parameters (Å, degrees): 8.865 8.865 3.703 90.00 90.00 90.00
Fractional positions:
Cd 0.117 0.383 0.000
Cd 0.383 0.883 0.000
Cd 0.617 0.117 0.000
Cd 0.883 0.617 0.000
Pb 0.188 0.688 0.500
Pb 0.312 0.188 0.500
Pb 0.688 0.812 0.500
Pb 0.812 0.312 0.500
Br 0.000 0.000 0.000
Br 0.500 0.500 0.000

Computed properties:
Energy above the most stable polymorph in this dataset: 0.033 eV per atom
Energy relative to the elements, uncorrected: -0.21 eV per formula unit

---

No. 2
This record from Alexandria via LeMat-Bulk describes a geometry-optimized CdPb5Br12 structure. The functional is PBE-GGA.

Lattice parameters (Å, degrees): 7.645 7.645 13.929 90.01 90.01 120.26
Fractional positions:
Cd 0.000 0.000 0.000
Pb 0.167 0.833 0.500
Pb 0.333 0.667 0.000
Pb 0.500 0.500 0.500
Pb 0.667 0.333 0.000
Pb 0.833 0.167 0.500
Br 0.001 0.691 0.886
Br 0.166 0.166 0.377
Br 0.167 0.501 0.623
Br 0.309 0.309 0.886
Br 0.309 0.999 0.114
Br 0.499 0.833 0.377
Br 0.501 0.167 0.623
Br 0.691 0.001 0.886
Br 0.691 0.691 0.114
Br 0.833 0.499 0.377
Br 0.834 0.834 0.623
Br 0.999 0.309 0.114

Computed properties:
Energy relative to the elements, uncorrected: -16.19 eV per formula unit

---

No. 3
This record from Alexandria via LeMat-Bulk describes a geometry-optimized CdPbBr structure. The functional is PBE-GGA.

Lattice parameters (Å, degrees): 3.732 3.732 7.271 90.00 90.00 120.00
Fractional positions:
Cd 0.000 0.000 0.000
Pb 0.667 0.333 0.340
Br 0.333 0.667 0.731

Computed properties:
Energy above the most stable polymorph in this dataset: 0.021 eV per atom
Energy relative to the elements, uncorrected: -0.73 eV per formula unit

---

No. 4
This record from Alexandria via LeMat-Bulk describes a geometry-optimized Cd3PbBr8 structure. The functional is PBE-GGA.

Lattice parameters (Å, degrees): 8.323 8.323 8.377 120.02 120.02 60.21
Fractional positions:
Cd 0.000 0.000 0.000
Cd 0.000 0.500 0.500
Cd 0.500 0.000 0.500
Pb 0.500 0.500 0.000
Br 0.224 0.758 0.746
Br 0.242 0.776 0.254
Br 0.243 0.243 0.721
Br 0.244 0.244 0.260
Br 0.756 0.756 0.740
Br 0.757 0.757 0.279
Br 0.758 0.224 0.746
Br 0.776 0.242 0.254

Computed properties:
Energy relative to the elements, uncorrected: -10.32 eV per formula unit

---

No. 5
This record from Alexandria via LeMat-Bulk describes a geometry-optimized CdPb4Br structure. The functional is PBE-GGA.

Lattice parameters (Å, degrees): 6.528 6.528 6.528 60.00 60.00 60.00
Fractional positions:
Cd 0.000 0.000 0.000
Pb 0.122 0.626 0.626
Pb 0.626 0.122 0.626
Pb 0.626 0.626 0.122
Pb 0.626 0.626 0.626
Br 0.250 0.250 0.250

Computed properties:
Energy relative to the elements, uncorrected: 0.57 eV per formula unit

---

No. 6
This record from Alexandria via LeMat-Bulk describes a geometry-optimized CdPbBr structure. The functional is PBE-GGA.

Lattice parameters (Å, degrees): 5.332 5.332 5.332 60.00 60.00 60.00
Fractional positions:
Cd 0.000 0.000 0.000
Pb 0.750 0.750 0.750
Br 0.500 0.500 0.500

Computed properties:
Energy above the most stable polymorph in this dataset: 0.208 eV per atom
Energy relative to the elements, uncorrected: -0.17 eV per formula unit

---

Q: What is the energy relative to the elements, uncorrected in the fourth record?
A: -10.32 eV per formula unit